[1]
First-principles (SCAN) data for GeWBr2 at its PBEsol-relaxed geometry, as listed in Alexandria.

- E_form (uncorrected): 17.2 kcal/mol of atoms
- E_tot: -124.71 eV for the cell shown

Cell lengths 9.7879, 9.7879, 9.7879 Å; angles 18.34, 18.34, 18.34 degrees
Fractional positions:
Ge (0.0000, 0.0000, 0.0000)
W (0.5000, 0.5000, 0.5000)
Br (0.4164, 0.4164, 0.4164)
Br (0.5836, 0.5836, 0.5836)

***

[2]
First-principles (SCAN) data for ZrGeBr3 at its PBEsol-relaxed geometry, as listed in Alexandria.

- E_form (uncorrected): 3.7 kcal/mol of atoms
- E_tot: -107.36 eV for the cell shown

Cell lengths 5.2334, 5.2334, 5.2334 Å; angles 90.00, 90.00, 90.00 degrees
Fractional positions:
Zr (0.0000, 0.0000, 0.0000)
Ge (0.5000, 0.5000, 0.5000)
Br (0.0000, 0.5000, 0.5000)
Br (0.5000, 0.0000, 0.5000)
Br (0.5000, 0.5000, 0.0000)

***

[3]
First-principles (SCAN) data for H2Br at its PBEsol-relaxed geometry, as listed in Alexandria.

- E_tot: -53.52 eV for the cell shown

Cell lengths 3.8849, 4.9649, 5.9310 Å; angles 113.59, 95.70, 90.28 degrees
Fractional positions:
H (0.0000, 0.0000, 0.0000)
H (0.0562, 0.5265, 0.0532)
H (0.7266, 0.9766, 0.4761)
H (0.7985, 0.1101, 0.4594)
Br (0.2611, 0.3864, 0.2080)
Br (0.7971, 0.7102, 0.8456)